<P>
A geometry-optimized La4Pr2Tm3 structure. Source: Alexandria via LeMat-Bulk, functional GGA-PBE.

Its space group is P3m1, No. 156. Its magnetization is 0.0 μB/cell.

Lattice parameters (Å, degrees): 3.6406 3.6406 27.4260 90.00 90.00 120.00
Atoms (fractional coordinates):
La: 0.0000 0.0000 0.0000
La: 0.0000 0.0000 0.2095
La: 0.3333 0.6667 0.3291
La: 0.3333 0.6667 0.5396
Pr: 0.0000 0.0000 0.6577
Pr: 0.0000 0.0000 0.8653
Tm: 0.0000 0.0000 0.4341
Tm: 0.3333 0.6667 0.1039
Tm: 0.3333 0.6667 0.7624

<Q>
A geometry-optimized La4Pr2Tm3 structure. Source: Alexandria via LeMat-Bulk, functional GGA-PBE.

Its space group is C2/c, No. 15. Its magnetization is 0.0 μB/cell.

Lattice parameters (Å, degrees): 10.4354 10.4354 6.1024 96.63 96.63 70.29
Atoms (fractional coordinates):
La: 0.0487 0.8266 0.9624
La: 0.1619 0.3836 0.1257
La: 0.1734 0.9513 0.5376
La: 0.3836 0.1619 0.6257
La: 0.6164 0.8381 0.3743
La: 0.8266 0.0487 0.4624
La: 0.8381 0.6164 0.8743
La: 0.9513 0.1734 0.0376
Pr: 0.2861 0.5055 0.6998
Pr: 0.4945 0.7139 0.8002
Pr: 0.5055 0.2861 0.1998
Pr: 0.7139 0.4945 0.3002
Tm: 0.0220 0.3143 0.5806
Tm: 0.3143 0.0220 0.0806
Tm: 0.3556 0.6444 0.2500
Tm: 0.6444 0.3556 0.7500
Tm: 0.6857 0.9780 0.9194
Tm: 0.9780 0.6857 0.4194

Which of them is most stable, and which least? Most stable: <P>; least stable: <Q>.

<P>
A geometry-optimized La2Pr6Tm structure. Source: Alexandria via LeMat-Bulk, functional GGA-PBE.

Its space group is Pnnm, No. 58. Its magnetization is 0.0 μB/cell.

Lattice parameters (Å, degrees): 11.0808 11.1087 5.2383 90.00 90.00 90.00
Atoms (fractional coordinates):
La: 0.1638 0.1639 0.0000
La: 0.3362 0.6639 0.5000
La: 0.6638 0.3361 0.5000
La: 0.8362 0.8361 0.0000
Pr: 0.0002 0.3316 0.5000
Pr: 0.9998 0.6684 0.5000
Pr: 0.1670 0.8331 0.0000
Pr: 0.1682 0.4999 0.0000
Pr: 0.3318 0.9999 0.5000
Pr: 0.3330 0.3331 0.5000
Pr: 0.5002 0.1684 0.0000
Pr: 0.4998 0.8316 0.0000
Pr: 0.6670 0.6669 0.5000
Pr: 0.6682 0.0001 0.5000
Pr: 0.8318 0.5001 0.0000
Pr: 0.8330 0.1669 0.0000
Tm: 0.0000 0.0000 0.5000
Tm: 0.5000 0.5000 0.0000

<Q>
A geometry-optimized La2Pr6Tm structure. Source: Alexandria via LeMat-Bulk, functional GGA-PBE.

Its space group is P-6m2, No. 187. Its magnetization is 0.0 μB/cell.

Lattice parameters (Å, degrees): 3.6813 3.6813 27.6297 90.00 90.00 120.00
Atoms (fractional coordinates):
La: 0.0000 0.0000 0.1712
La: 0.0000 0.0000 0.8288
Pr: 0.0000 0.0000 0.3958
Pr: 0.0000 0.0000 0.6042
Pr: 0.6667 0.3333 0.0624
Pr: 0.6667 0.3333 0.2851
Pr: 0.6667 0.3333 0.7149
Pr: 0.6667 0.3333 0.9376
Tm: 0.6667 0.3333 0.5000

Which of them is most stable, and which least? Most stable: <P>; least stable: <Q>.

<P>
A geometry-optimized La3PrTm structure. Source: Alexandria via LeMat-Bulk, functional GGA-PBE.

Its space group is Cmcm, No. 63. Its magnetization is 0.0 μB/cell.

Lattice parameters (Å, degrees): 5.7776 5.7776 12.0918 90.00 90.00 116.71
Atoms (fractional coordinates):
La: 0.0534 0.9466 0.7500
La: 0.3547 0.6453 0.5998
La: 0.3547 0.6453 0.9002
La: 0.6453 0.3547 0.0998
La: 0.6453 0.3547 0.4002
La: 0.9466 0.0534 0.2500
Pr: 0.0000 0.0000 0.0000
Pr: 0.0000 0.0000 0.5000
Tm: 0.2952 0.7048 0.2500
Tm: 0.7048 0.2952 0.7500

<Q>
A geometry-optimized La3PrTm structure. Source: Alexandria via LeMat-Bulk, functional GGA-PBE.

Its space group is P-1, No. 2. Its magnetization is 0.0 μB/cell.

Lattice parameters (Å, degrees): 6.7729 6.7835 9.2561 104.41 101.29 112.82
Atoms (fractional coordinates):
La: 0.0998 0.0180 0.1984
La: 0.2137 0.8342 0.5497
La: 0.3231 0.4001 0.8029
La: 0.6769 0.5999 0.1971
La: 0.7863 0.1658 0.4503
La: 0.9002 0.9820 0.8016
Pr: 0.5000 0.0000 0.0000
Pr: 0.5000 0.5000 0.5000
Tm: 0.1460 0.5054 0.1605
Tm: 0.8540 0.4946 0.8395

Which of them is most stable, and which least? Most stable: <Q>; least stable: <P>.

<P>
A geometry-optimized La3Pr4Tm2 structure. Source: Alexandria via LeMat-Bulk, functional GGA-PBE.

Its space group is C2/c, No. 15. Its magnetization is 0.0 μB/cell.

Lattice parameters (Å, degrees): 9.7016 9.7016 7.2465 97.39 97.39 77.21
Atoms (fractional coordinates):
La: 0.0221 0.9779 0.7500
La: 0.2558 0.5400 0.3165
La: 0.4600 0.7442 0.1835
La: 0.5400 0.2558 0.8165
La: 0.7442 0.4600 0.6835
La: 0.9779 0.0221 0.2500
Pr: 0.0585 0.3231 0.5080
Pr: 0.2529 0.5443 0.8216
Pr: 0.3231 0.0585 0.0080
Pr: 0.4557 0.7471 0.6784
Pr: 0.5443 0.2529 0.3216
Pr: 0.6769 0.9415 0.9920
Pr: 0.7471 0.4557 0.1784
Pr: 0.9415 0.6769 0.4920
Tm: 0.0545 0.3271 0.0015
Tm: 0.3271 0.0545 0.5015
Tm: 0.6729 0.9455 0.4985
Tm: 0.9455 0.6729 0.9985

<Q>
A geometry-optimized La3Pr4Tm2 structure. Source: Alexandria via LeMat-Bulk, functional GGA-PBE.

Its space group is C2/m, No. 12. Its magnetization is 0.0 μB/cell.

Lattice parameters (Å, degrees): 6.5716 6.5716 9.3258 100.50 100.50 53.51
Atoms (fractional coordinates):
La: 0.0000 0.0000 0.0000
La: 0.1181 0.1181 0.6833
La: 0.8819 0.8819 0.3167
Pr: 0.2257 0.2257 0.3710
Pr: 0.3216 0.3216 0.0382
Pr: 0.6784 0.6784 0.9618
Pr: 0.7743 0.7743 0.6290
Tm: 0.4397 0.4397 0.6895
Tm: 0.5603 0.5603 0.3105

Which of them is most stable, and which least? Most stable: <Q>; least stable: <P>.

<P>
A geometry-optimized LaPr2Tm structure. Source: Alexandria via LeMat-Bulk, functional GGA-PBE.

Its space group is P4/mmm, No. 123. Its magnetization is 0.0 μB/cell.

Lattice parameters (Å, degrees): 3.6699 3.6699 10.3742 90.00 90.00 90.00
Atoms (fractional coordinates):
La: 0.0000 0.0000 0.0000
Pr: 0.5000 0.5000 0.2582
Pr: 0.5000 0.5000 0.7418
Tm: 0.0000 0.0000 0.5000

<Q>
A geometry-optimized LaPr2Tm structure. Source: Alexandria via LeMat-Bulk, functional GGA-PBE.

Its space group is R-3m, No. 166. Its magnetization is 0.0 μB/cell.

Lattice parameters (Å, degrees): 12.9212 12.9212 12.9212 15.85 15.85 15.85
Atoms (fractional coordinates):
La: 0.0000 0.0000 0.0000
Pr: 0.0906 0.0906 0.0906
Pr: 0.9094 0.9094 0.9094
Tm: 0.5000 0.5000 0.5000

Which of them is most stable, and which least? Most stable: <P>; least stable: <Q>.

<P>
A geometry-optimized LaPr2Tm structure. Source: Alexandria via LeMat-Bulk, functional GGA-PBE.

Its space group is R3m, No. 160. Its magnetization is 0.0 μB/cell.

Lattice parameters (Å, degrees): 12.1774 12.1774 12.1774 17.31 17.31 17.31
Atoms (fractional coordinates):
La: 0.0000 0.0000 0.0000
Pr: 0.5808 0.5808 0.5808
Pr: 0.7536 0.7536 0.7536
Tm: 0.1672 0.1672 0.1672

<Q>
A geometry-optimized LaPr2Tm structure. Source: Alexandria via LeMat-Bulk, functional GGA-PBE.

Its space group is P4/mmm, No. 123. Its magnetization is 0.0 μB/cell.

Lattice parameters (Å, degrees): 5.1684 5.1684 5.1916 90.00 90.00 90.00
Atoms (fractional coordinates):
La: 0.0000 0.0000 0.0000
Pr: 0.0000 0.5000 0.5000
Pr: 0.5000 0.0000 0.5000
Tm: 0.5000 0.5000 0.0000

<R>
A geometry-optimized LaPr2Tm structure. Source: Alexandria via LeMat-Bulk, functional GGA-PBE.

Its space group is Fm-3m, No. 225. Its magnetization is 0.0 μB/cell.

Lattice parameters (Å, degrees): 5.8397 5.8397 5.8397 60.00 60.00 60.00
Atoms (fractional coordinates):
La: 0.0000 0.0000 0.0000
Pr: 0.2500 0.2500 0.2500
Pr: 0.7500 0.7500 0.7500
Tm: 0.5000 0.5000 0.5000

Which of them is most stable, and which least? Most stable: <Q>; least stable: <R>.